Record 1
# Ba2AlReSe (PBE-GGA, optimized geometry)
# formation energy (no corrections) = 0.34 eV/atom
# DOS(E_F) = 3.4 states/eV per cell
# crystal system = tetragonal
# total magnetization = 0.4463 μB/atom
data_Ba2AlReSe
_chemical_formula_sum 'Ba2 Al1 Re1 Se1'
_space_group_name_H-M_alt 'P 4/m m m'
_space_group_IT_number 123
_space_group_name_Hall '-P 4 2'
_cell_length_a 6.267
_cell_length_b 6.267
_cell_length_c 4.692
_cell_angle_alpha 90.00
_cell_angle_beta 90.00
_cell_angle_gamma 90.00
loop_
_atom_site_label
_atom_site_type_symbol
_atom_site_fract_x
_atom_site_fract_y
_atom_site_fract_z
_atom_site_occupancy
Ba1 Ba 0.000 0.500 0.000 1
Al1 Al 0.000 0.000 0.000 1
Re1 Re 0.000 0.000 0.500 1
Se1 Se 0.500 0.500 0.500 1

---

Record 2
# BaAlRe2Se (PBE-GGA, optimized geometry)
# formation energy (no corrections) = 1.21 eV/atom
# DOS(E_F) = 5.5 states/eV per cell
# crystal system = tetragonal
# total magnetization = 0.0000 μB/atom
data_BaAlRe2Se
_chemical_formula_sum 'Ba1 Al1 Re2 Se1'
_space_group_name_H-M_alt 'P 4/m m m'
_space_group_IT_number 123
_space_group_name_Hall '-P 4 2'
_cell_length_a 4.704
_cell_length_b 4.704
_cell_length_c 5.401
_cell_angle_alpha 90.00
_cell_angle_beta 90.00
_cell_angle_gamma 90.00
loop_
_atom_site_label
_atom_site_type_symbol
_atom_site_fract_x
_atom_site_fract_y
_atom_site_fract_z
_atom_site_occupancy
Ba1 Ba 0.000 0.000 0.000 1
Al1 Al 0.500 0.500 0.500 1
Re1 Re 0.000 0.500 0.500 1
Se1 Se 0.500 0.500 0.000 1

---

Record 3
# BaAlReSi2 (PBE-GGA, optimized geometry)
# formation energy (no corrections) = 2.93 eV/atom
# DOS(E_F) = 13.9 states/eV per cell
# crystal system = tetragonal
# total magnetization = 0.0000 μB/atom
data_BaAlReSi2
_chemical_formula_sum 'Ba1 Al1 Re1 Si2'
_space_group_name_H-M_alt 'P 4/m m m'
_space_group_IT_number 123
_space_group_name_Hall '-P 4 2'
_cell_length_a 5.196
_cell_length_b 5.196
_cell_length_c 5.289
_cell_angle_alpha 90.00
_cell_angle_beta 90.00
_cell_angle_gamma 90.00
loop_
_atom_site_label
_atom_site_type_symbol
_atom_site_fract_x
_atom_site_fract_y
_atom_site_fract_z
_atom_site_occupancy
Ba1 Ba 0.000 0.000 0.000 1
Al1 Al 0.000 0.000 0.500 1
Re1 Re 0.500 0.500 0.500 1
Si1 Si 0.000 0.500 0.000 1

---

Record 4
# BaAl2ReSi (PBE-GGA, optimized geometry)
# formation energy (no corrections) = -0.25 eV/atom
# DOS(E_F) = 0.8 states/eV per cell
# crystal system = tetragonal
# total magnetization = 0.0000 μB/atom
data_BaAl2ReSi
_chemical_formula_sum 'Ba1 Al2 Re1 Si1'
_space_group_name_H-M_alt 'P 4/m m m'
_space_group_IT_number 123
_space_group_name_Hall '-P 4 2'
_cell_length_a 4.914
_cell_length_b 4.914
_cell_length_c 4.741
_cell_angle_alpha 90.00
_cell_angle_beta 90.00
_cell_angle_gamma 90.00
loop_
_atom_site_label
_atom_site_type_symbol
_atom_site_fract_x
_atom_site_fract_y
_atom_site_fract_z
_atom_site_occupancy
Ba1 Ba 0.000 0.000 0.000 1
Al1 Al 0.000 0.500 0.500 1
Re1 Re 0.500 0.500 0.500 1
Si1 Si 0.500 0.500 0.000 1

---

| no. | total DFT energy (no corrections) (eV/atom) | calculated volume (Å³/atom) |
| --- | --- | --- |
| 1 | -4.367 | 36.86 |
| 2 | -5.599 | 23.90 |
| 3 | -2.858 | 28.56 |
| 4 | -5.707 | 22.89 |